1.
! TcBNO PBE-GGA relaxed; values from VASP
&SYSTEM
  ibrav = 0, nat = 8, ntyp = 4
/
ATOMIC_SPECIES
Tc 98.00 Tc.upf
B 10.81 B.upf
N 14.01 N.upf
O 16.00 O.upf
CELL_PARAMETERS angstrom
3.163 0.000 0.000
0.000 3.163 0.000
0.000 0.000 7.661
ATOMIC_POSITIONS angstrom
Tc 0.791 0.791 1.339
Tc 2.372 2.372 6.322
B 0.791 2.372 3.831
B 2.372 0.791 3.831
N 0.791 0.791 3.392
N 2.372 2.372 4.269
O 0.791 2.372 0.000
O 2.372 0.791 0.000
! Space group: P4/nmm (129)
! ΔE to the lowest computed polymorph: 1.1603 eV per atom

---

2.
! Pr5TmTe6 PBE-GGA relaxed; values from VASP
&SYSTEM
  ibrav = 0, nat = 12, ntyp = 3
/
ATOMIC_SPECIES
Pr 140.91 Pr.upf
Tm 168.93 Tm.upf
Te 127.60 Te.upf
CELL_PARAMETERS angstrom
3.897 -6.741 0.000
3.897 6.741 0.000
-2.573 0.000 7.316
ATOMIC_POSITIONS angstrom
Pr 0.000 0.000 0.000
Pr 2.610 4.483 3.658
Pr 3.897 2.398 0.000
Pr 3.897 -2.398 0.000
Pr 2.610 -4.483 3.658
Tm 2.610 0.000 3.658
Te 1.363 2.150 1.899
Te 0.129 0.000 5.483
Te 1.363 -2.150 1.899
Te 3.857 2.150 5.418
Te 5.091 0.000 1.833
Te 3.857 -2.150 5.418
! Space group: C2/m (12)
! Calculated total energy: -5.332 eV per atom

---

3.
! UFeHg PBE-GGA relaxed; values from VASP
&SYSTEM
  ibrav = 0, nat = 3, ntyp = 3
/
ATOMIC_SPECIES
U 238.03 U.upf
Fe 55.84 Fe.upf
Hg 200.59 Hg.upf
CELL_PARAMETERS angstrom
0.000 3.257 3.257
3.257 0.000 3.257
3.257 3.257 0.000
ATOMIC_POSITIONS angstrom
U 0.000 0.000 0.000
Fe 4.885 4.885 4.885
Hg 1.628 1.628 1.628
! Formation energy: 1110 meV per atom
! Space group: F-43m (216)
! ΔE to the lowest computed polymorph: 0.5358 eV per atom

---

4.
! BeAlInPt PBE-GGA relaxed; values from VASP
&SYSTEM
  ibrav = 0, nat = 4, ntyp = 4
/
ATOMIC_SPECIES
Be 9.01 Be.upf
Al 26.98 Al.upf
In 114.82 In.upf
Pt 195.08 Pt.upf
CELL_PARAMETERS angstrom
0.000 3.156 3.156
3.156 0.000 3.156
3.156 3.156 0.000
ATOMIC_POSITIONS angstrom
Be 0.000 0.000 0.000
Al 1.578 1.578 1.578
In 4.734 4.734 4.734
Pt 3.156 3.156 3.156
! Space group: F-43m (216)
! ΔE to the lowest computed polymorph: 0.0216 eV per atom